1.
Material: MgMnMo2
Method: DFT, PBE
State: relaxed Values from VASP.

Properties
Size of the total moment: 0.44 μB per atom
N(E_F): 0.835 states/eV/atom
Formation enthalpy at 0 K: 0.28 eV per atom

Quantum ESPRESSO input file:
```
&SYSTEM
  ibrav = 0, nat = 4, ntyp = 3
/
ATOMIC_SPECIES
Mg 24.30 Mg.upf
Mn 54.94 Mn.upf
Mo 95.94 Mo.upf
CELL_PARAMETERS angstrom
4.389 0.000 0.000
0.000 2.681 0.032
0.000 1.213 5.194
ATOMIC_POSITIONS crystal
Mg 0.500 0.250 0.250
Mn 0.500 0.750 0.750
Mo 0.000 0.989 0.991
Mo 0.000 0.511 0.509
```

***

2.
Material: BiIrPd2Br
Method: DFT, PBE
State: relaxed Values from VASP.

Properties
ΔE to the lowest computed polymorph: 0.0 meV per atom
Formation energy from raw total energies: 815 meV/atom
Size of the total moment: 0.00 μB per atom
N(E_F): 1.320 states/eV/atom

Quantum ESPRESSO input file:
```
&SYSTEM
  ibrav = 0, nat = 5, ntyp = 4
/
ATOMIC_SPECIES
Ir 192.22 Ir.upf
Bi 208.98 Bi.upf
Pd 106.42 Pd.upf
Br 79.90 Br.upf
CELL_PARAMETERS angstrom
5.066 0.000 0.000
0.000 4.681 0.000
0.000 0.000 5.066
ATOMIC_POSITIONS crystal
Ir 0.000 0.000 0.000
Bi 0.500 0.500 0.500
Pd 0.000 0.000 0.500
Pd 0.500 0.000 0.000
Br 0.000 0.500 0.000
```

***

3.
Material: SmEuS2
Method: DFT, PBE
State: relaxed Values from VASP.

Properties
ΔE to the lowest computed polymorph: 2.9 meV per atom
Formation energy from raw total energies: -2090 meV/atom
Size of the total moment: 1.75 μB per atom
N(E_F): 0.208 states/eV/atom

Quantum ESPRESSO input file:
```
&SYSTEM
  ibrav = 0, nat = 4, ntyp = 3
/
ATOMIC_SPECIES
Sm 150.36 Sm.upf
Eu 151.96 Eu.upf
S 32.06 S.upf
CELL_PARAMETERS angstrom
-3.286 -2.340 -0.487
0.558 0.055 -4.025
3.284 -4.693 0.391
ATOMIC_POSITIONS crystal
Sm 0.500 0.500 0.500
Eu 0.000 0.000 0.000
S 0.000 0.000 0.500
S 0.500 0.500 0.000
```